(1)
TiAs3P, optimized geometry, DFT PBE-GGA; energy above the most stable polymorph in this dataset = 0.0689 eV/atom; calculated formation energy = 0.623 eV per atom; volume = 102.4 Å³ per cell; crystal system = cubic
1.0
4.6784 0.0000 0.0000
0.0000 4.6784 0.0000
0.0000 0.0000 4.6784
Ti As P
1 3 1
Direct
0.0000 0.0000 0.0000
0.0000 0.5000 0.5000
0.5000 0.0000 0.5000
0.5000 0.5000 0.0000
0.5000 0.5000 0.5000

=====

(2)
CaMn2CrRu, optimized geometry, DFT PBE-GGA; calculated formation energy = 0.582 eV per atom; volume = 90.9 Å³ per cell; crystal system = tetragonal
1.0
4.4687 0.0000 0.0000
0.0000 4.4687 0.0000
0.0000 0.0000 4.5503
Ca Mn Cr Ru
1 2 1 1
Direct
0.0000 0.0000 0.0000
0.0000 0.5000 0.5000
0.5000 0.0000 0.5000
0.5000 0.5000 0.5000
0.5000 0.5000 0.0000

=====

(3)
Au5Se4, optimized geometry, DFT PBE-GGA; energy above the most stable polymorph in this dataset = 0.0000 eV/atom; volume = 225.0 Å³ per cell; crystal system = tetragonal; formation energy (no corrections) = 18.0 kJ per mole of atoms
1.0
-5.4262 5.4262 1.9108
5.4262 -5.4262 1.9108
5.4262 5.4262 -1.9108
Au Se
5 4
Direct
0.0000 0.0000 0.0000
0.3173 0.3173 0.6346
0.3173 0.6827 0.0000
0.6827 0.3173 0.0000
0.6827 0.6827 0.3654
0.0000 0.2327 0.2327
0.0000 0.7673 0.7673
0.2327 0.0000 0.2327
0.7673 0.0000 0.7673

=====

(4)
KAlTl2, optimized geometry, DFT PBE-GGA; energy above the most stable polymorph in this dataset = 0.0725 eV/atom; calculated formation energy = 0.102 eV per atom; volume = 125.9 Å³ per cell; crystal system = tetragonal
1.0
3.8979 0.0000 0.0000
0.0000 3.8979 0.0000
0.0000 0.0000 8.2876
K Al Tl
1 1 2
Direct
0.0000 0.0000 0.0000
0.5000 0.5000 0.6974
0.0000 0.0000 0.5469
0.5000 0.5000 0.3099

=====

(5)
Nd2DyIn, optimized geometry, DFT PBE-GGA; energy above the most stable polymorph in this dataset = 0.0649 eV/atom; calculated formation energy = -0.204 eV per atom; volume = 126.2 Å³ per cell; crystal system = tetragonal
1.0
3.6396 0.0000 0.0000
0.0000 3.6396 0.0000
0.0000 0.0000 9.5237
Nd Dy In
2 1 1
Direct
0.0000 0.0000 0.2280
0.0000 0.0000 0.7720
0.5000 0.5000 0.5000
0.5000 0.5000 0.0000

=====

(6)
Ba2InCo, optimized geometry, DFT PBE-GGA; calculated formation energy = 0.202 eV per atom; volume = 132.8 Å³ per cell; crystal system = tetragonal
1.0
3.8776 0.0000 0.0000
0.0000 3.8776 0.0000
0.0000 0.0000 8.8357
Ba In Co
2 1 1
Direct
0.0000 0.0000 0.2126
0.0000 0.0000 0.7874
0.5000 0.5000 0.5000
0.5000 0.5000 0.0000